Entry from Alexandria via LeMat-Bulk: a geometry-optimized Tl2RuAu structure (PBE).

```
4
Lattice="-2.0250 2.0250 4.9219 2.0250 -2.0250 4.9219 2.0250 2.0250 -4.9219" Properties=species:S:1:pos:R:3 pbc="T T T"
Tl 0.0000 0.0000 0.0000
Tl 0.0000 2.0250 2.4610
Ru 0.0000 0.0000 4.9219
Au 2.0250 0.0000 2.4610
```

Properties
Its polymorph energy (0 for the lowest one) is 0.120 eV/atom. The space group is No. 119. As for the formation energy: 0.456 eV/atom.